! SrRePt2, optimized geometry, DFT PBE; values from VASP
! N(E_F) ... 0.8584 states/eV/atom
! Magnetization ... 0.00 μB per formula unit
! Relative energy among the computed polymorphs ... 0.718 eV/f.u.
! Uncorrected energy ... -6.437 eV per atom
! ΔH_f (0 K) ... 0.1155 eV per atom
! Mass density ... 13.57 g cm⁻³
! Crystal system ... monoclinic
&SYSTEM
  ibrav = 0, nat = 4, ntyp = 3
/
ATOMIC_SPECIES
Pt 195.08 Pt.upf
Re 186.21 Re.upf
Sr 87.62 Sr.upf
ATOMIC_POSITIONS angstrom
Pt -5.894 -0.980 1.926
Pt -5.537 1.042 -2.201
Re -7.674 1.690 -3.551
Sr -2.558 0.563 -1.184
CELL_PARAMETERS angstrom
-1.967 2.936 -2.788
-1.951 0.382 -4.039
-6.315 -1.064 2.093


! LiSnS, optimized geometry, DFT PBE; values from VASP
! N(E_F) ... 0.0285 states/eV/atom
! Magnetization ... 0.00 μB per formula unit
! Relative energy among the computed polymorphs ... 0.737 eV/f.u.
! Uncorrected energy ... -3.869 eV per atom
! Formation energy without anion corrections ... -520.8 meV per atom
! Mass density ... 3.84 g cm⁻³
! Crystal system ... orthorhombic
&SYSTEM
  ibrav = 0, nat = 12, ntyp = 3
/
ATOMIC_SPECIES
S 32.06 S.upf
Sn 118.71 Sn.upf
Li 6.94 Li.upf
ATOMIC_POSITIONS angstrom
S -2.029 -0.774 -1.899
S -4.085 -3.250 -4.856
S -5.569 -0.144 -6.469
S -3.513 2.331 -3.512
Sn 0.000 0.000 0.000
Sn -3.799 -0.459 -4.184
Sn -4.460 0.712 -1.321
Sn 0.661 -1.171 -2.863
Li -5.998 2.103 -3.992
Li -1.712 1.187 -6.123
Li -1.600 -3.022 -4.375
Li -5.886 -2.106 -2.245
CELL_PARAMETERS angstrom
-4.383 5.073 -3.086
1.322 -2.342 -5.726
-4.537 -3.649 0.445


! SrLi2Zn4, optimized geometry, DFT PBE; values from VASP
! N(E_F) ... 0.5316 states/eV/atom
! Magnetization ... 0.00 μB per formula unit
! Relative energy among the computed polymorphs ... 0.000 eV/f.u.
! Uncorrected energy ... -1.710 eV per atom
! ΔH_f (0 K) ... -0.1951 eV per atom
! Mass density ... 4.50 g cm⁻³
! Crystal system ... tetragonal
&SYSTEM
  ibrav = 0, nat = 7, ntyp = 3
/
ATOMIC_SPECIES
Sr 87.62 Sr.upf
Li 6.94 Li.upf
Zn 65.41 Zn.upf
ATOMIC_POSITIONS angstrom
Sr 0.000 0.000 0.000
Li -2.418 -0.889 7.021
Li -1.910 -1.823 4.617
Zn 0.336 -0.685 6.086
Zn 0.301 -0.593 3.168
Zn -2.176 0.048 2.397
Zn -3.804 0.386 4.796
CELL_PARAMETERS angstrom
-1.015 1.868 4.809
-4.965 -1.434 2.384
1.651 -3.146 4.445